# 1
DyYBPb | PBE | optimized geometry

Cell and atoms, written as CIF:
```
data_DyYBPb
_chemical_formula_sum 'Dy2 Y2 B2 Pb2'
_cell_length_a 3.6962
_cell_length_b 3.6962
_cell_length_c 16.7213
_cell_angle_alpha 90.00
_cell_angle_beta 90.00
_cell_angle_gamma 120.00
_space_group_name_H-M_alt 'P -3 m 1'
_space_group_IT_number 164
_space_group_name_Hall '-P 3 2"'
loop_
_atom_site_label
_atom_site_type_symbol
_atom_site_fract_x
_atom_site_fract_y
_atom_site_fract_z
Dy1 Dy 0.3333 0.6667 0.0894
Y1 Y 0.3333 0.6667 0.4098
B1 B 0.0000 0.0000 0.0000
B2 B 0.0000 0.0000 0.5000
Pb1 Pb 0.3333 0.6667 0.7503
```

energy	-44.607	eV/cell
calculated volume	24.73	A^3/atom

***

# 2
DyYBPb | PBE | optimized geometry

Cell and atoms, written as CIF:
```
data_DyYBPb
_chemical_formula_sum 'Dy2 Y2 B2 Pb2'
_cell_length_a 3.6966
_cell_length_b 3.6966
_cell_length_c 16.6999
_cell_angle_alpha 90.00
_cell_angle_beta 90.00
_cell_angle_gamma 120.00
_space_group_name_H-M_alt 'P -6 m 2'
_space_group_IT_number 187
_space_group_name_Hall 'P -6 2'
loop_
_atom_site_label
_atom_site_type_symbol
_atom_site_fract_x
_atom_site_fract_y
_atom_site_fract_z
Dy1 Dy 0.0000 0.0000 0.1606
Y1 Y 0.3333 0.6667 0.3400
B1 B 0.6667 0.3333 0.2497
Pb1 Pb 0.0000 0.0000 0.5000
Pb2 Pb 0.3333 0.6667 0.0000
```

energy	-44.607	eV/cell
calculated volume	24.70	A^3/atom

***

# 3
DyBPd | PBE | optimized geometry

Cell and atoms, written as CIF:
```
data_DyBPd
_chemical_formula_sum 'Dy4 B4 Pd4'
_cell_length_a 6.105
_cell_length_b 6.105
_cell_length_c 6.105
_cell_angle_alpha 90.00
_cell_angle_beta 90.00
_cell_angle_gamma 90.00
_space_group_name_H-M_alt 'F -4 3 m'
_space_group_IT_number 216
_space_group_name_Hall 'F -4 2 3'
loop_
_atom_site_label
_atom_site_type_symbol
_atom_site_fract_x
_atom_site_fract_y
_atom_site_fract_z
Dy1 Dy 0.000 0.000 0.000
B1 B 0.000 0.000 0.500
Pd1 Pd 0.250 0.250 0.750
```

polymorph energy (0 for the lowest one)	0.3731	eV/atom
calculated volume	18.96	A^3/atom